Below is a relaxed TmThSnHg crystal, with properties calculated at the PBE level.

Computed properties:
Calculated volume, Å³ per atom: 27.2
Total DFT energy (no corrections), eV per cell: -17.8
Formation energy, eV per atom: -0.402
Crystal system: cubic

The structure in CIF format:
```
data_TmThSnHg
_chemical_formula_sum 'Tm1 Th1 Sn1 Hg1'
_cell_length_a 5.356
_cell_length_b 5.356
_cell_length_c 5.356
_cell_angle_alpha 60.00
_cell_angle_beta 60.00
_cell_angle_gamma 60.00
_symmetry_space_group_name_H-M 'P 1'
_symmetry_Int_Tables_number 1
loop_
_symmetry_equiv_pos_as_xyz
'x,y,z'
loop_
_atom_site_label
_atom_site_type_symbol
_atom_site_fract_x
_atom_site_fract_y
_atom_site_fract_z
Tm1 Tm 0.250 0.250 0.250
Hg1 Hg 0.500 0.500 0.500
Sn1 Sn 0.000 0.000 0.000
Th1 Th 0.750 0.750 0.750
```